No. 1
! InAs2F8 (PBE, relaxed); values from VASP
! space group = C2/m
! ΔE_f (raw) = -21.9 eV per formula unit
! DOS at the Fermi energy = 2.3 states/eV per cell
&SYSTEM
  ibrav = 0, nat = 11, ntyp = 3
/
ATOMIC_SPECIES
F 19.00 F.upf
As 74.92 As.upf
In 114.82 In.upf
CELL_PARAMETERS angstrom
-3.270 2.147 -3.945
-4.176 -4.678 1.454
-4.684 -0.010 4.415
ATOMIC_POSITIONS crystal
F 0.723 0.105 0.105
F 0.173 0.317 0.317
F 0.234 0.336 0.895
As 0.585 0.775 0.775
F 0.234 0.895 0.336
F 0.277 0.895 0.895
F 0.827 0.683 0.683
In 0.000 0.000 0.000
F 0.766 0.664 0.105
As 0.415 0.225 0.225
F 0.766 0.105 0.664

No. 2
! In2AsF (PBE, relaxed); values from VASP
! space group = Fm-3m
! ΔE_f (raw) = -2.9 eV per formula unit
! DOS at the Fermi energy = 0.9 states/eV per cell
! energy above the lowest structure with this stoichiometry = 0 meV per atom
&SYSTEM
  ibrav = 0, nat = 4, ntyp = 3
/
ATOMIC_SPECIES
As 74.92 As.upf
F 19.00 F.upf
In 114.82 In.upf
CELL_PARAMETERS angstrom
1.692 -3.589 -2.791
-2.216 -4.315 -0.009
-2.509 -1.430 -3.898
ATOMIC_POSITIONS crystal
As 0.500 0.500 0.500
F 0.000 0.000 0.000
In 0.750 0.750 0.750
In 0.250 0.250 0.250

No. 3
! In2AsF (PBE, relaxed); values from VASP
! space group = I-42d
! ΔE_f (raw) = -2.8 eV per formula unit
! DOS at the Fermi energy = 2.4 states/eV per cell
! energy above the lowest structure with this stoichiometry = 36 meV per atom
&SYSTEM
  ibrav = 0, nat = 8, ntyp = 3
/
ATOMIC_SPECIES
In 114.82 In.upf
F 19.00 F.upf
As 74.92 As.upf
CELL_PARAMETERS angstrom
-5.015 0.186 1.566
-0.612 -5.041 -1.361
-0.816 -4.463 6.742
ATOMIC_POSITIONS crystal
In 0.566 0.125 0.250
In 0.184 0.625 0.250
In 0.875 0.816 0.750
In 0.375 0.434 0.750
F 0.250 0.750 0.500
As 0.750 0.250 0.500
As 0.000 0.000 0.000
F 0.500 0.500 0.000

No. 4
! K2InAsF6 (PBE, relaxed); values from VASP
! space group = Fm-3m
! ΔE_f (raw) = -22.6 eV per formula unit
! DOS at the Fermi energy = 0.0 states/eV per cell
&SYSTEM
  ibrav = 0, nat = 10, ntyp = 4
/
ATOMIC_SPECIES
In 114.82 In.upf
K 39.10 K.upf
F 19.00 F.upf
As 74.92 As.upf
CELL_PARAMETERS angstrom
0.000 4.627 4.627
4.627 0.000 4.627
4.627 4.627 0.000
ATOMIC_POSITIONS crystal
In 0.500 0.500 0.500
K 0.750 0.750 0.750
F 0.224 0.224 0.776
As 0.000 0.000 0.000
F 0.776 0.224 0.776
K 0.250 0.250 0.250
F 0.224 0.776 0.776
F 0.224 0.776 0.224
F 0.776 0.776 0.224
F 0.776 0.224 0.224

Number 1: final energy -4.4443 eV/atom. Number 2: final energy -3.7243 eV/atom. Number 3: final energy -3.6888 eV/atom. Number 4: final energy -4.3398 eV/atom.